Record 1
LaAgHgGe | Alexandria | GGA-PBE | optimized geometry; density of states at the Fermi level = 0.297 states/eV/atom; ρ = 9.12 g/cm3; magnetic moment = 0.000 μB per atom; calculated formation energy = -0.375 eV per atom
1.0
7.2347 0.0000 0.0000
0.0000 7.2347 0.0000
0.0000 0.0000 7.2347
La Ag Hg Ge
4 4 4 4
Direct
0.0000 0.0000 0.0000
0.0000 0.5000 0.5000
0.5000 0.0000 0.5000
0.5000 0.5000 0.0000
0.0000 0.0000 0.5000
0.0000 0.5000 0.0000
0.5000 0.0000 0.0000
0.5000 0.5000 0.5000
0.2500 0.2500 0.2500
0.2500 0.7500 0.7500
0.7500 0.2500 0.7500
0.7500 0.7500 0.2500
0.2500 0.2500 0.7500
0.2500 0.7500 0.2500
0.7500 0.2500 0.2500
0.7500 0.7500 0.7500

---

Record 2
LiAg2HgGe | Alexandria | GGA-PBE | optimized geometry; density of states at the Fermi level = 0.416 states/eV/atom; ρ = 8.07 g/cm3; magnetic moment = 0.000 μB per atom; calculated formation energy = 0.412 eV per atom
1.0
4.6439 0.0000 0.0000
0.0000 4.6439 0.0000
0.0000 0.0000 4.7302
Li Ag Hg Ge
1 2 1 1
Direct
0.0000 0.0000 0.0000
0.0000 0.5000 0.0000
0.5000 0.0000 0.0000
0.0000 0.0000 0.5000
0.5000 0.5000 0.5000

---

Record 3
Mg2AgHgGe | Alexandria | GGA-PBE | optimized geometry; density of states at the Fermi level = 0.450 states/eV/atom; ρ = 5.43 g/cm3; magnetic moment = 0.000 μB per atom; calculated formation energy = 0.205 eV per atom
1.0
5.2121 0.0000 0.0000
0.0000 5.2121 0.0000
0.0000 0.0000 4.8399
Mg Ag Hg Ge
2 1 1 1
Direct
0.0000 0.5000 0.0000
0.5000 0.0000 0.0000
0.0000 0.0000 0.0000
0.5000 0.5000 0.5000
0.0000 0.0000 0.5000

---

Record 4
MgAgHgGe | Alexandria | GGA-PBE | optimized geometry; density of states at the Fermi level = 0.478 states/eV/atom; ρ = 8.35 g/cm3; magnetic moment = 0.000 μB per atom; calculated formation energy = 0.033 eV per atom
1.0
6.8571 0.0000 0.0000
0.0000 6.8571 0.0000
0.0000 0.0000 6.8571
Mg Ag Hg Ge
4 4 4 4
Direct
0.0000 0.0000 0.0000
0.0000 0.5000 0.5000
0.5000 0.0000 0.5000
0.5000 0.5000 0.0000
0.0000 0.0000 0.5000
0.0000 0.5000 0.0000
0.5000 0.0000 0.0000
0.5000 0.5000 0.5000
0.2500 0.2500 0.2500
0.2500 0.7500 0.7500
0.7500 0.2500 0.7500
0.7500 0.7500 0.2500
0.2500 0.2500 0.7500
0.2500 0.7500 0.2500
0.7500 0.2500 0.2500
0.7500 0.7500 0.7500

---

Record 5
Na2AgHgGe | Alexandria | GGA-PBE | optimized geometry; density of states at the Fermi level = 0.773 states/eV/atom; ρ = 4.74 g/cm3; magnetic moment = 0.000 μB per atom; calculated formation energy = 0.391 eV per atom
1.0
5.3316 0.0000 0.0000
0.0000 5.3316 0.0000
0.0000 0.0000 5.2631
Na Ag Hg Ge
2 1 1 1
Direct
0.0000 0.5000 0.0000
0.5000 0.0000 0.0000
0.0000 0.0000 0.0000
0.0000 0.0000 0.5000
0.5000 0.5000 0.5000

---

Record 6
NaAgHgGe | Alexandria | GGA-PBE | optimized geometry; density of states at the Fermi level = 0.425 states/eV/atom; ρ = 8.09 g/cm3; magnetic moment = 0.000 μB per atom; calculated formation energy = 0.034 eV per atom
1.0
6.9230 0.0000 0.0000
0.0000 6.9230 0.0000
0.0000 0.0000 6.9230
Na Ag Hg Ge
4 4 4 4
Direct
0.0000 0.0000 0.0000
0.0000 0.5000 0.5000
0.5000 0.0000 0.5000
0.5000 0.5000 0.0000
0.2500 0.2500 0.7500
0.2500 0.7500 0.2500
0.7500 0.2500 0.2500
0.7500 0.7500 0.7500
0.2500 0.2500 0.2500
0.2500 0.7500 0.7500
0.7500 0.2500 0.7500
0.7500 0.7500 0.2500
0.0000 0.0000 0.5000
0.0000 0.5000 0.0000
0.5000 0.0000 0.0000
0.5000 0.5000 0.5000

---

Record 7
NiAgHg2Ge | Alexandria | GGA-PBE | optimized geometry; density of states at the Fermi level = 0.918 states/eV/atom; ρ = 7.86 g/cm3; magnetic moment = 0.000 μB per atom; calculated formation energy = 0.970 eV per atom
1.0
5.2767 0.0000 0.0000
0.0000 5.2767 0.0000
0.0000 0.0000 4.8563
Ni Ag Hg Ge
1 1 2 1
Direct
0.0000 0.0000 0.0000
0.5000 0.5000 0.5000
0.0000 0.5000 0.5000
0.5000 0.0000 0.5000
0.5000 0.5000 0.0000

---

Record 8
Ag2HgGeO4 | Alexandria | GGA-PBE | optimized geometry; density of states at the Fermi level = 0.540 states/eV/atom; formation energy without anion corrections = -0.670 eV/atom; ρ = 7.13 g/cm3; magnetic moment = 0.000 μB per atom
1.0
0.0000 3.4746 5.3553
3.4600 0.0000 5.3553
3.4600 3.4746 0.0000
Ag Hg Ge O
2 1 1 4
Direct
0.0000 0.0000 0.5000
0.5000 0.5000 0.0000
0.2463 0.2463 0.7537
0.7517 0.7517 0.2483
0.0591 0.6430 0.9409
0.4450 0.8568 0.1432
0.6430 0.0591 0.3570
0.8568 0.4450 0.5550